# DyCrRh2, optimized geometry, DFT GGA-PBE
# DFT formation energy, eV/atom: -0.36
# Spin magnetization, μB/cell: 3.7
# Uncorrected energy, Ry per atom: -0.558
data_DyCrRh2
_chemical_formula_sum 'Dy1 Cr1 Rh2'
_space_group_name_H-M_alt 'P 1'
_space_group_IT_number 1
_space_group_name_Hall 'P 1'
_cell_length_a 3.454
_cell_length_b 4.440
_cell_length_c 4.440
_cell_angle_alpha 90.00
_cell_angle_beta 90.00
_cell_angle_gamma 90.00
loop_
_atom_site_label
_atom_site_type_symbol
_atom_site_fract_x
_atom_site_fract_y
_atom_site_fract_z
Cr1 Cr 0.500 0.000 0.000
Rh1 Rh 0.000 0.000 0.500
Rh2 Rh 0.000 0.500 0.000
Dy1 Dy 0.500 0.500 0.500

# DyCrRu, optimized geometry, DFT GGA-PBE
# DFT formation energy, eV/atom: 0.30
# Spin magnetization, μB/cell: 10.4
# Uncorrected energy, Ry per atom: -0.554
data_DyCrRu
_chemical_formula_sum 'Dy4 Cr4 Ru4'
_space_group_name_H-M_alt 'P 1'
_space_group_IT_number 1
_space_group_name_Hall 'P 1'
_cell_length_a 6.708
_cell_length_b 6.708
_cell_length_c 5.905
_cell_angle_alpha 90.00
_cell_angle_beta 90.00
_cell_angle_gamma 90.00
loop_
_atom_site_label
_atom_site_type_symbol
_atom_site_fract_x
_atom_site_fract_y
_atom_site_fract_z
Cr1 Cr 0.303 0.303 0.000
Cr2 Cr 0.697 0.697 0.500
Cr3 Cr 0.197 0.803 0.250
Cr4 Cr 0.803 0.197 0.750
Ru1 Ru 0.559 0.441 0.750
Ru2 Ru 0.941 0.941 0.500
Ru3 Ru 0.059 0.059 0.000
Ru4 Ru 0.441 0.559 0.250
Dy1 Dy 0.737 0.263 0.250
Dy2 Dy 0.763 0.763 0.000
Dy3 Dy 0.237 0.237 0.500
Dy4 Dy 0.263 0.737 0.750

# Dy2CrRu3, optimized geometry, DFT GGA-PBE
# DFT formation energy, eV/atom: -0.23
# Spin magnetization, μB/cell: 0.0
# Uncorrected energy, Ry per atom: -0.589
data_Dy2CrRu3
_chemical_formula_sum 'Dy4 Cr2 Ru6'
_space_group_name_H-M_alt 'P 1'
_space_group_IT_number 1
_space_group_name_Hall 'P 1'
_cell_length_a 5.480
_cell_length_b 5.480
_cell_length_c 8.059
_cell_angle_alpha 90.00
_cell_angle_beta 90.00
_cell_angle_gamma 120.00
loop_
_atom_site_label
_atom_site_type_symbol
_atom_site_fract_x
_atom_site_fract_y
_atom_site_fract_z
Dy1 Dy 0.667 0.333 0.439
Dy2 Dy 0.333 0.667 0.561
Dy3 Dy 0.333 0.667 0.939
Dy4 Dy 0.667 0.333 0.061
Cr1 Cr 0.000 0.000 0.500
Cr2 Cr 0.000 0.000 0.000
Ru1 Ru 0.168 0.336 0.250
Ru2 Ru 0.336 0.168 0.750
Ru3 Ru 0.832 0.664 0.750
Ru4 Ru 0.168 0.832 0.250
Ru5 Ru 0.832 0.168 0.750
Ru6 Ru 0.664 0.832 0.250